DFT (PBE) results for crystalline ScTi3Ni at its relaxed geometry.

```
ScTi3Ni
1.0
4.571 0.000 0.000
0.000 4.571 0.000
0.000 0.000 4.571
Sc Ti Ni
1 3 1
Direct
0.000 0.000 0.000 Sc
0.000 0.000 0.500 Ti
0.000 0.500 0.000 Ti
0.500 0.000 0.000 Ti
0.500 0.500 0.500 Ni
```

Properties
DOS(E_F) = 1.78 states/eV/atom
energy of formation = 1.398 eV/atom
final energy = -5.76 eV per atom
energy relative to the lowest polymorph listed for this composition = 1.1434 eV per atom


DFT (PBE) results for crystalline NbIBr at its relaxed geometry.

```
NbIBr
1.0
6.500 -1.871 0.000
6.500 1.871 0.000
-4.323 0.000 7.963
Nb I Br
2 2 2
Direct
0.176 0.176 0.023 Nb
0.824 0.824 0.977 Nb
0.190 0.190 0.727 I
0.810 0.810 0.273 I
0.052 0.052 0.205 Br
0.948 0.948 0.795 Br
```

Properties
DOS(E_F) = 0.19 states/eV/atom
formation energy from raw total energies = -1.50 eV per formula unit
final energy = -4.93 eV per atom
energy relative to the lowest polymorph listed for this composition = 0.0356 eV per atom


The records above give, respectively, total magnetic moment values of 0.0 0.0 μB per cell.